# 1
MgNi2Au: relaxed, PBE-GGA. Values from VASP.

Results
total magnetization: 0.0 μB per formula unit
DFT total energy: -4.27 eV per atom
formation energy: -0.65 eV/f.u.

Structure (Quantum ESPRESSO input):
```
&SYSTEM
  ibrav = 0, nat = 4, ntyp = 3
/
ATOMIC_SPECIES
Au 196.97 Au.upf
Ni 58.69 Ni.upf
Mg 24.30 Mg.upf
ATOMIC_POSITIONS crystal
Au 0.750 0.250 0.500
Ni 0.000 0.000 0.000
Ni 0.500 0.500 0.000
Mg 0.250 0.750 0.500
CELL_PARAMETERS angstrom
4.611 -0.056 -0.018
1.369 4.404 0.018
-2.979 -2.189 2.757
```

# 2
MgNiAu: relaxed, PBE-GGA. Values from VASP.

Results
total magnetization: 0.4 μB per formula unit
DFT total energy: -3.60 eV per atom
excess energy over the best structure of this formula in the dataset: 185 meV per atom
formation energy: -0.15 eV/f.u.

Structure (Quantum ESPRESSO input):
```
&SYSTEM
  ibrav = 0, nat = 6, ntyp = 3
/
ATOMIC_SPECIES
Au 196.97 Au.upf
Ni 58.69 Ni.upf
Mg 24.30 Mg.upf
ATOMIC_POSITIONS crystal
Au 0.951 0.903 0.819
Au 0.049 0.097 0.181
Ni 0.149 0.298 0.490
Ni 0.851 0.702 0.510
Mg 0.220 0.440 0.811
Mg 0.780 0.560 0.189
CELL_PARAMETERS angstrom
2.827 0.000 0.000
-1.413 5.031 0.601
0.000 1.036 7.135
```